(1)
Material: SrCu2P
Method: DFT, meta-GGA SCAN
State: single point on PBEsol structure

Computed properties:
Energy of formation = 115 meV/atom
Raw total energy = -0.575 Ha/atom
Crystal system = cubic
Space-group type = F-43m, No. 216
Fermi-level density of states = 0.384 states/eV/atom

Geometry as POSCAR:
```
SrCu2P
1.0
0.000 3.274 3.274
3.274 0.000 3.274
3.274 3.274 0.000
Sr Cu P
1 2 1
Direct
0.000 0.000 0.000 Sr
0.500 0.500 0.500 Cu
0.750 0.750 0.750 Cu
0.250 0.250 0.250 P
```



(2)
Material: FeRh2Se
Method: DFT, meta-GGA SCAN
State: single point on PBEsol structure

Computed properties:
Raw total energy = -0.967 Ha/atom
Crystal system = orthorhombic
Formation energy without anion corrections = 0.14 eV/atom
Space-group type = Pmmm, No. 47
Fermi-level density of states = 0.779 states/eV/atom

Geometry as POSCAR:
```
FeRh2Se
1.0
2.867 0.000 0.000
0.000 4.286 0.000
0.000 0.000 4.490
Fe Rh Se
1 2 1
Direct
0.000 0.000 0.000 Fe
0.000 0.500 0.500 Rh
0.500 0.500 0.000 Rh
0.500 0.000 0.500 Se
```



(3)
Material: Li4V3Sn3Te2O16
Method: DFT, meta-GGA SCAN
State: single point on PBEsol structure

Computed properties:
Raw total energy = -0.522 Ha/atom
Crystal system = monoclinic
Formation energy without anion corrections = -1.92 eV/atom
Space-group type = Cm, No. 8
Fermi-level density of states = 0.072 states/eV/atom

Geometry as POSCAR:
```
Li4V3Sn3Te2O16
1.0
5.392 -3.058 0.000
5.392 3.058 0.000
-0.022 0.000 9.950
Li V Sn Te O
4 3 3 2 16
Direct
0.000 0.000 0.000 Li
0.004 0.004 0.487 Li
0.346 0.346 0.587 Li
0.683 0.683 0.085 Li
0.193 0.663 0.273 V
0.663 0.193 0.273 V
0.843 0.843 0.773 V
0.178 0.178 0.271 Sn
0.346 0.843 0.772 Sn
0.843 0.346 0.772 Sn
0.350 0.350 0.001 Te
0.688 0.688 0.487 Te
0.006 0.006 0.182 O
0.008 0.008 0.669 O
0.051 0.499 0.147 O
0.158 0.707 0.886 O
0.159 0.159 0.895 O
0.332 0.846 0.387 O
0.342 0.342 0.381 O
0.493 0.493 0.144 O
0.499 0.051 0.147 O
0.524 0.524 0.649 O
0.532 0.982 0.656 O
0.678 0.678 0.883 O
0.707 0.158 0.886 O
0.846 0.332 0.387 O
0.855 0.855 0.382 O
0.982 0.532 0.656 O
```



(4)
Material: RbGeP2Cl
Method: DFT, meta-GGA SCAN
State: single point on PBEsol structure

Computed properties:
Raw total energy = -0.505 Ha/atom
Distance to the lowest polymorph of the same formula = 0.000 eV/atom
Crystal system = tetragonal
Formation energy without anion corrections = -0.03 eV/atom
Space-group type = P4/mmm, No. 123
Fermi-level density of states = 0.789 states/eV/atom

Geometry as POSCAR:
```
RbGeP2Cl
1.0
4.652 0.000 0.000
0.000 4.652 0.000
0.000 0.000 5.985
Rb Ge P Cl
1 1 2 1
Direct
0.000 0.000 0.000 Rb
0.500 0.500 0.500 Ge
0.000 0.500 0.500 P
0.500 0.000 0.500 P
0.500 0.500 0.000 Cl
```



(5)
Material: TaMoW2
Method: DFT, meta-GGA SCAN
State: single point on PBEsol structure

Computed properties:
Energy of formation = -122 meV/atom
Raw total energy = -2.217 Ha/atom
Distance to the lowest polymorph of the same formula = 0.003 eV/atom
Crystal system = cubic
Space-group type = F-43m, No. 216
Fermi-level density of states = 0.406 states/eV/atom

Geometry as POSCAR:
```
TaMoW2
1.0
0.000 3.173 3.173
3.173 0.000 3.173
3.173 3.173 0.000
Ta Mo W
1 1 2
Direct
0.000 0.000 0.000 Ta
0.750 0.750 0.750 Mo
0.250 0.250 0.250 W
0.500 0.500 0.500 W
```



(6)
Material: CoSiW2
Method: DFT, meta-GGA SCAN
State: single point on PBEsol structure

Computed properties:
Raw total energy = -1.525 Ha/atom
Crystal system = orthorhombic
Formation energy without anion corrections = 0.18 eV/atom
Space-group type = Cmmm, No. 65
Fermi-level density of states = 0.667 states/eV/atom

Geometry as POSCAR:
```
CoSiW2
1.0
2.553 -3.860 0.000
2.553 3.860 0.000
0.000 0.000 2.719
Co Si W
1 1 2
Direct
0.000 0.000 0.000 Co
0.500 0.500 0.000 Si
0.000 0.500 0.500 W
0.500 0.000 0.500 W
```



(7)
Material: RuRh2W
Method: DFT, meta-GGA SCAN
State: single point on PBEsol structure

Computed properties:
Energy of formation = -200 meV/atom
Raw total energy = -1.588 Ha/atom
Distance to the lowest polymorph of the same formula = 0.000 eV/atom
Crystal system = tetragonal
Space-group type = P4/mmm, No. 123
Fermi-level density of states = 0.430 states/eV/atom

Geometry as POSCAR:
```
RuRh2W
1.0
3.783 0.000 0.000
0.000 3.783 0.000
0.000 0.000 3.869
Ru Rh W
1 2 1
Direct
0.000 0.000 0.000 Ru
0.000 0.500 0.500 Rh
0.500 0.000 0.500 Rh
0.500 0.500 0.000 W
```



(8)
Material: BaScZn
Method: DFT, meta-GGA SCAN
State: single point on PBEsol structure

Computed properties:
Energy of formation = 203 meV/atom
Raw total energy = -0.817 Ha/atom
Distance to the lowest polymorph of the same formula = 0.000 eV/atom
Crystal system = trigonal
Space-group type = P3m1, No. 156
Fermi-level density of states = 0.943 states/eV/atom

Geometry as POSCAR:
```
BaScZn
1.0
3.635 0.000 0.000
-1.817 3.148 0.000
0.000 0.000 7.582
Ba Sc Zn
1 1 1
Direct
0.000 0.000 0.000 Ba
0.333 0.667 0.579 Sc
0.667 0.333 0.340 Zn
```



Which formula does entry 4 have? RbGeP2Cl



What is the Fermi-level density of states in the sixth record? 0.667 states/eV/atom